(1)
VASP calculation (PBE-GGA) on crystalline LiBeTe2 at its relaxed geometry.

Properties
Formation energy without anion corrections, kcal/mol of atoms: 1.2
Symmetry: Pmmm
Total magnetization, μB/cell: 0.0
ρ, g/cm³: 4.99

Unit cell a=3.8754 b=6.2539 c=3.7268 alpha=90.00 beta=90.00 gamma=90.00
With the nearest neighbours (Å) after each atom.
Atoms (fractional coordinates):
Te 0.5000 0.5000 0.0000  4 Li 2.69
Te 0.0000 0.0000 0.0000  4 Be 2.69
Be 0.5000 0.0000 0.5000  4 Te 2.69
Li 0.0000 0.5000 0.5000  4 Te 2.69

(2)
VASP calculation (PBE-GGA) on crystalline Al2FeP at its relaxed geometry.

Properties
ΔE_f, eV per atom: -0.059
Symmetry: Cmmm
Total magnetization, μB/cell: 0.2
ρ, g/cm³: 4.50

Unit cell a=5.7565 b=4.3963 c=2.8785 alpha=89.93 beta=60.02 gamma=119.43
With the nearest neighbours (Å) after each atom.
Atoms (fractional coordinates):
Fe 0.0000 0.5000 0.5000  2 P 2.49, 8 Al 2.62-2.63
Al 0.0000 0.0000 0.0000  2 Al 2.49, 4 P 2.62-2.63, 4 Fe 2.63
P 0.5000 0.5000 0.0000  2 Fe 2.49, 8 Al 2.62-2.63
Al 0.5000 0.0000 0.5000  2 Al 2.49, 4 Fe 2.62-2.63, 4 P 2.63

(3)
VASP calculation (PBE-GGA) on crystalline CePuTl at its relaxed geometry.

Properties
ΔE_f, eV per atom: 0.042
Symmetry: Cm
Total magnetization, μB/cell: 6.0
ρ, g/cm³: 12.43

Unit cell a=3.4014 b=3.2536 c=7.3057 alpha=90.08 beta=103.46 gamma=90.01
With the nearest neighbours (Å) after each atom.
Atoms (fractional coordinates):
Tl 0.7324 0.9618 0.1130  4 Tl 3.25-3.40, 4 Pu 3.40, 4 Ce 3.44
Pu 0.4046 0.4632 0.4576  2 Ce 2.73-2.74
Ce 0.0564 0.4604 0.7592  2 Pu 2.73-2.74

(4)
VASP calculation (PBE-GGA) on crystalline DySc3Rh2 at its relaxed geometry.

Properties
ΔE_f, eV per atom: -0.697
Symmetry: Pmc2_1
Total magnetization, μB/cell: 0.0
ρ, g/cm³: 6.63

Unit cell a=4.3483 b=6.8908 c=8.4109 alpha=90.00 beta=90.00 gamma=90.00
With the nearest neighbours (Å) after each atom.
Atoms (fractional coordinates):
Rh 0.5000 0.7483 0.8517  6 Sc 2.69-2.89, 1 Dy 2.81
Sc 0.0000 0.3597 0.3127  4 Rh 2.69-3.00
Dy 0.5000 0.0154 0.4226  3 Rh 2.81-2.93
Sc 0.0000 0.4843 0.9202  3 Rh 2.75-2.89
Sc 0.0000 0.9843 0.0798  3 Rh 2.75-2.89
Dy 0.5000 0.5154 0.5774  3 Rh 2.81-2.93
Rh 0.5000 0.2483 0.1483  6 Sc 2.69-2.89, 1 Dy 2.81
Sc 0.5000 0.6444 0.1664  4 Rh 2.73-2.74
Sc 0.5000 0.1444 0.8336  4 Rh 2.73-2.74
Sc 0.0000 0.8597 0.6873  4 Rh 2.69-3.00
Rh 0.0000 0.2480 0.6569  5 Sc 2.69-3.00, 2 Dy 2.93
Rh 0.0000 0.7480 0.3431  5 Sc 2.69-3.00, 2 Dy 2.93

(5)
VASP calculation (PBE-GGA) on crystalline SnHg2I at its relaxed geometry.

Properties
Formation energy without anion corrections, kcal/mol of atoms: 1.8
Symmetry: R-3m
Total magnetization, μB/cell: 0.0
ρ, g/cm³: 8.37

Unit cell a=3.5785 b=3.5785 c=11.7506 alpha=81.24 beta=81.24 gamma=60.00
With the nearest neighbours (Å) after each atom.
Atoms (fractional coordinates):
Hg 0.0860 0.0860 0.7419  1 Sn 2.99
Sn 0.0000 0.0000 0.0000  2 Hg 2.99
I 0.5000 0.5000 0.5000  6 Hg 3.48, 6 I 3.58
Hg 0.9140 0.9140 0.2581  1 Sn 2.99

(6)
VASP calculation (PBE-GGA) on crystalline Ta6RuW3 at its relaxed geometry.

Properties
ΔE_f, eV per atom: -0.176
Symmetry: P2_1/m
Total magnetization, μB/cell: 0.0
ρ, g/cm³: 16.96

Unit cell a=4.5928 b=7.9356 c=9.7109 alpha=105.88 beta=90.00 gamma=90.00
With the nearest neighbours (Å) after each atom.
Atoms (fractional coordinates):
W 0.2500 0.7531 0.0003  8 Ta 2.79-2.84
Ta 0.2500 0.4542 0.1010  7 W 2.79-2.84, 1 Ta 2.83
W 0.2500 0.5490 0.3996  8 Ta 2.77-2.84
Ru 0.7500 0.0500 0.4018  8 Ta 2.75-2.82
Ta 0.7500 0.1511 0.6960  3 Ru 2.75-2.81, 4 W 2.78-2.84, 1 Ta 2.83
Ta 0.2500 0.2471 0.5026  3 Ru 2.76-2.80, 4 W 2.77-2.84, 1 Ta 2.82
Ta 0.7500 0.7529 0.4974  3 Ru 2.76-2.80, 4 W 2.77-2.84, 1 Ta 2.82
Ru 0.2500 0.9500 0.5982  8 Ta 2.75-2.82
Ta 0.2500 0.6460 0.6961  5 W 2.77-2.84, 1 Ru 2.82, 2 Ta 2.83
W 0.7500 0.6508 0.2013  8 Ta 2.77-2.82
Ta 0.2500 0.8489 0.3040  3 Ru 2.75-2.81, 4 W 2.78-2.84, 1 Ta 2.83
W 0.7500 0.4510 0.6004  8 Ta 2.77-2.84
Ta 0.7500 0.5458 0.8990  7 W 2.79-2.84, 1 Ta 2.83
Ta 0.2500 0.1501 0.2006  8 Ta 2.82-2.83
W 0.7500 0.2469 0.9997  8 Ta 2.79-2.84
Ta 0.7500 0.3540 0.3039  5 W 2.77-2.84, 1 Ru 2.82, 2 Ta 2.83
W 0.2500 0.3492 0.7987  8 Ta 2.77-2.82
Ta 0.7500 0.8499 0.7994  8 Ta 2.82-2.83
Ta 0.2500 0.0530 0.8974  4 W 2.77-2.82, 1 Ru 2.79, 3 Ta 2.82-2.83
Ta 0.7500 0.9470 0.1026  4 W 2.77-2.82, 1 Ru 2.79, 3 Ta 2.82-2.83

| no. | total energy (Ha/atom) |
| --- | --- |
| 1 | -0.108 |
| 2 | -0.198 |
| 3 | -0.276 |
| 4 | -0.260 |
| 5 | -0.054 |
| 6 | -0.445 |